First-principles (PBE) data for a geometry-optimized HgTe2Se structure, as listed in Alexandria.

- E_tot: -0.1746 Ry/atom
- SG: Pmmm
- Energy relative to the lowest polymorph listed for this composition: 136 meV per atom
- Fermi-level density of states: 2.8 states/eV per cell
- Crystal system: orthorhombic

a b c (Å): 4.051 4.064 8.881
angles (deg): 90.00 90.00 90.00
Fractional coordinates of all 4 atoms:
Hg 0.000 0.000 0.000
Te 0.000 0.500 0.500
Te 0.500 0.500 0.000
Se 0.500 0.000 0.500

=====

First-principles (PBE) data for a geometry-optimized PSeS2 structure, as listed in Alexandria.

- E_tot: -0.3018 Ry/atom
- SG: Pna2_1
- Energy relative to the lowest polymorph listed for this composition: 0 meV per atom
- Fermi-level density of states: 6.9 states/eV per cell
- Crystal system: orthorhombic

a b c (Å): 7.938 11.540 5.849
angles (deg): 90.00 90.00 90.00
Fractional coordinates of all 16 atoms:
P 0.097 0.148 0.000
P 0.403 0.648 0.500
P 0.597 0.352 0.000
P 0.903 0.852 0.500
Se 0.073 0.315 0.531
Se 0.427 0.815 0.031
Se 0.573 0.185 0.531
Se 0.927 0.685 0.031
S 0.185 0.149 0.322
S 0.198 0.305 0.862
S 0.302 0.805 0.362
S 0.315 0.649 0.822
S 0.685 0.351 0.322
S 0.698 0.195 0.862
S 0.802 0.695 0.362
S 0.815 0.851 0.822

=====

First-principles (PBE) data for a geometry-optimized ThRh6 structure, as listed in Alexandria.

- E_tot: -0.5648 Ry/atom
- ΔE_f: -0.324 eV/atom
- SG: Pnma
- Energy relative to the lowest polymorph listed for this composition: 0 meV per atom
- Fermi-level density of states: 40.6 states/eV per cell
- Crystal system: orthorhombic

a b c (Å): 8.620 5.263 10.397
angles (deg): 90.00 90.00 90.00
Fractional coordinates of all 28 atoms:
Th 0.244 0.250 0.058
Th 0.256 0.750 0.558
Th 0.744 0.250 0.442
Th 0.756 0.750 0.942
Rh 0.060 0.005 0.301
Rh 0.060 0.495 0.301
Rh 0.060 0.750 0.076
Rh 0.108 0.250 0.519
Rh 0.163 0.750 0.837
Rh 0.184 0.250 0.772
Rh 0.316 0.750 0.272
Rh 0.337 0.250 0.337
Rh 0.392 0.750 0.019
Rh 0.440 0.250 0.576
Rh 0.440 0.505 0.801
Rh 0.440 0.995 0.801
Rh 0.560 0.005 0.199
Rh 0.560 0.495 0.199
Rh 0.560 0.750 0.424
Rh 0.608 0.250 0.981
Rh 0.663 0.750 0.663
Rh 0.684 0.250 0.728
Rh 0.816 0.750 0.228
Rh 0.837 0.250 0.163
Rh 0.892 0.750 0.481
Rh 0.940 0.250 0.924
Rh 0.940 0.505 0.699
Rh 0.940 0.995 0.699

=====

First-principles (PBE) data for a geometry-optimized FePbBr2 structure, as listed in Alexandria.

- E_tot: -0.2624 Ry/atom
- SG: P4/mmm
- Energy relative to the lowest polymorph listed for this composition: 490 meV per atom
- Fermi-level density of states: 2.5 states/eV per cell
- Crystal system: tetragonal

a b c (Å): 5.149 5.149 3.858
angles (deg): 90.00 90.00 90.00
Fractional coordinates of all 4 atoms:
Fe 0.000 0.000 0.000
Pb 0.500 0.500 0.000
Br 0.000 0.500 0.500
Br 0.500 0.000 0.500

=====

> Which of these has the lowest E_tot?

ThRh6